(1)
# NaTcTe2Pb

NaTcTe2Pb after structural relaxation (PBE-GGA, Alexandria).

Computed properties:
For the formation energy (no corrections), the calculation gives 349 meV per atom. As for the space-group type: No. 123.

Cell lengths 5.214, 5.214, 5.392 Å; angles 90.00, 90.00, 90.00 degrees
Fractional positions:
Na 0.000 0.000 0.000
Tc 0.000 0.000 0.500
Te 0.000 0.500 0.500
Te 0.500 0.000 0.500
Pb 0.500 0.500 0.000

=====

(2)
# HfTi4Sn2

HfTi4Sn2 after structural relaxation (PBE-GGA, Alexandria).

Computed properties:
The polymorph energy (0 for the lowest one) is 0 meV per atom. As for the space-group type: No. 11.

Cell lengths 7.241, 5.620, 7.598 Å; angles 90.00, 117.64, 90.00 degrees
Fractional positions:
Hf 0.233 0.250 0.309
Hf 0.767 0.750 0.691
Ti 0.028 0.750 0.516
Ti 0.125 0.250 0.889
Ti 0.415 0.001 0.772
Ti 0.415 0.499 0.772
Ti 0.585 0.501 0.228
Ti 0.585 0.999 0.228
Ti 0.875 0.750 0.111
Ti 0.972 0.250 0.484
Sn 0.205 0.750 0.958
Sn 0.331 0.750 0.399
Sn 0.669 0.250 0.601
Sn 0.795 0.250 0.042

=====

(3)
# VTe2RuRh

VTe2RuRh after structural relaxation (PBE-GGA, Alexandria).

Computed properties:
For the formation energy (no corrections), the calculation gives 1021 meV per atom. As for the space-group type: No. 123.

Cell lengths 5.135, 5.135, 4.422 Å; angles 90.00, 90.00, 90.00 degrees
Fractional positions:
V 0.000 0.000 0.000
Te 0.000 0.500 0.500
Te 0.500 0.000 0.500
Ru 0.000 0.000 0.500
Rh 0.500 0.500 0.000

=====

(4)
# HgBiSeN2

HgBiSeN2 after structural relaxation (PBE-GGA, Alexandria).

Computed properties:
The polymorph energy (0 for the lowest one) is 241 meV per atom. For the formation energy (no corrections), the calculation gives 1686 meV per atom. As for the space-group type: No. 123.

Cell lengths 4.339, 4.339, 5.777 Å; angles 90.00, 90.00, 90.00 degrees
Fractional positions:
Hg 0.000 0.000 0.000
Bi 0.500 0.500 0.500
Se 0.000 0.000 0.500
N 0.000 0.500 0.000
N 0.500 0.000 0.000

=====

(5)
# RbNdCuI6

RbNdCuI6 after structural relaxation (PBE-GGA, Alexandria).

Computed properties:
For the formation energy (no corrections), the calculation gives -949 meV per atom. As for the space-group type: No. 1.

Cell lengths 7.486, 7.486, 8.224 Å; angles 97.02, 97.21, 107.99 degrees
Fractional positions:
Rb 0.000 0.000 0.000
Nd 0.369 0.632 0.500
Cu 0.731 0.270 0.500
I 0.059 0.574 0.205
I 0.079 0.314 0.651
I 0.428 0.940 0.797
I 0.485 0.326 0.270
I 0.677 0.515 0.729
I 0.684 0.923 0.347

=====

(6)
# Y4Ho2Pu

Y4Ho2Pu after structural relaxation (PBE-GGA, Alexandria).

Computed properties:
The electronic total energy comes out at -0.3856 Ry per atom. As for the space-group type: No. 139.

Cell lengths 8.510, 8.510, 8.510 Å; angles 119.65, 119.65, 90.60 degrees
Fractional positions:
Y 0.000 0.316 0.316
Y 0.000 0.684 0.684
Y 0.316 0.000 0.316
Y 0.684 0.000 0.684
Ho 0.250 0.750 0.500
Ho 0.750 0.250 0.500
Pu 0.000 0.000 0.000

=====

(7)
# Sc2AgAu

Sc2AgAu after structural relaxation (PBE-GGA, Alexandria).

Computed properties:
The polymorph energy (0 for the lowest one) is 1 meV per atom. As for the space-group type: No. 225.

Cell lengths 4.830, 4.830, 4.830 Å; angles 60.00, 60.00, 60.00 degrees
Fractional positions:
Sc 0.250 0.250 0.250
Sc 0.750 0.750 0.750
Ag 0.000 0.000 0.000
Au 0.500 0.500 0.500

=====

(8)
# Pa2Ga5Ir3

Pa2Ga5Ir3 after structural relaxation (PBE-GGA, Alexandria).

Computed properties:
The electronic total energy comes out at -0.4945 Ry per atom. As for the space-group type: No. 36.

Cell lengths 12.493, 12.493, 6.963 Å; angles 90.00, 90.00, 160.50 degrees
Fractional positions:
Pa 0.022 0.978 0.500
Pa 0.324 0.676 0.578
Pa 0.676 0.324 0.078
Pa 0.978 0.022 0.000
Ga 0.103 0.897 0.871
Ga 0.205 0.795 0.394
Ga 0.208 0.792 0.787
Ga 0.373 0.627 0.024
Ga 0.447 0.553 0.663
Ga 0.553 0.447 0.163
Ga 0.627 0.373 0.524
Ga 0.792 0.208 0.287
Ga 0.795 0.205 0.894
Ga 0.897 0.103 0.371
Ir 0.108 0.892 0.261
Ir 0.269 0.731 0.094
Ir 0.453 0.547 0.282
Ir 0.547 0.453 0.782
Ir 0.731 0.269 0.594
Ir 0.892 0.108 0.761